# AcYCrN4 (PBE-GGA, relaxed)
data_AcYCrN4
_chemical_formula_sum 'Ac2 Y2 Cr2 N8'
_symmetry_space_group_name_H-M 'P 1 21/m 1'
_symmetry_Int_Tables_number 11
_cell_length_a 5.6413
_cell_length_b 5.6405
_cell_length_c 7.1116
_cell_angle_alpha 90.00
_cell_angle_beta 108.34
_cell_angle_gamma 90.00
loop_
_symmetry_equiv_pos_as_xyz
'x,y,z'
'-x,-y,-z'
'-x,y+1/2,-z'
'x,-y+1/2,z'
loop_
_atom_site_label
_atom_site_type_symbol
_atom_site_fract_x
_atom_site_fract_y
_atom_site_fract_z
_atom_site_occupancy
Ac1 Ac 0.2165 0.2500 0.4295 1
Y1 Y 0.2940 0.2500 0.9621 1
Cr1 Cr 0.2602 0.7500 0.1826 1
N1 N 0.0650 0.7500 0.3329 1
N2 N 0.0812 0.7500 0.9400 1
N3 N 0.4648 0.5075 0.2343 1
# **Formation energy without anion corrections**: -7.79 eV/f.u.

# Ac3Er (PBE-GGA, relaxed)
data_Ac3Er
_chemical_formula_sum 'Ac6 Er2'
_symmetry_space_group_name_H-M 'P 63/m m c'
_symmetry_Int_Tables_number 194
_symmetry_space_group_name_Hall '-P 6c 2c'
_cell_length_a 7.8324
_cell_length_b 7.8324
_cell_length_c 6.2412
_cell_angle_alpha 90.00
_cell_angle_beta 90.00
_cell_angle_gamma 120.00
loop_
_atom_site_label
_atom_site_type_symbol
_atom_site_fract_x
_atom_site_fract_y
_atom_site_fract_z
_atom_site_occupancy
Ac1 Ac 0.1700 0.3400 0.2500 1
Er1 Er 0.3333 0.6667 0.7500 1
# **Formation energy**: 0.055 eV per atom
# **Energy relative to the lowest polymorph listed for this composition**: 14.6 meV/atom
# **Density of states at the Fermi level**: 6.00 states/eV/f.u.

# SmTmIr2 (PBE-GGA, relaxed)
data_SmTmIr2
_chemical_formula_sum 'Sm2 Tm2 Ir4'
_symmetry_space_group_name_H-M 'P m m a'
_symmetry_Int_Tables_number 51
_cell_length_a 4.9478
_cell_length_b 3.3244
_cell_length_c 9.9190
_cell_angle_alpha 90.00
_cell_angle_beta 90.00
_cell_angle_gamma 90.00
loop_
_symmetry_equiv_pos_as_xyz
'x,y,z'
'-x,-y,-z'
'-x+1/2,-y,z'
'x+1/2,y,-z'
'x+1/2,-y,-z'
'-x+1/2,y,z'
'-x,y,-z'
'x,-y,z'
loop_
_atom_site_label
_atom_site_type_symbol
_atom_site_fract_x
_atom_site_fract_y
_atom_site_fract_z
_atom_site_occupancy
Sm1 Sm 0.2500 0.0000 0.1276 1
Tm1 Tm 0.2500 0.0000 0.6214 1
Ir1 Ir 0.2500 0.5000 0.3818 1
Ir2 Ir 0.2500 0.5000 0.8651 1
# **Formation energy**: -0.763 eV per atom
# **Energy relative to the lowest polymorph listed for this composition**: 0.0 meV/atom
# **Density of states at the Fermi level**: 2.55 states/eV/f.u.

# PmTm2Ga (PBE-GGA, relaxed)
data_PmTm2Ga
_chemical_formula_sum 'Pm3 Tm6 Ga3'
_symmetry_space_group_name_H-M 'R 3 m'
_symmetry_Int_Tables_number 160
_symmetry_space_group_name_Hall 'R 3 -2"'
_cell_length_a 3.5733
_cell_length_b 3.5733
_cell_length_c 30.6390
_cell_angle_alpha 90.00
_cell_angle_beta 90.00
_cell_angle_gamma 120.00
loop_
_atom_site_label
_atom_site_type_symbol
_atom_site_fract_x
_atom_site_fract_y
_atom_site_fract_z
_atom_site_occupancy
Pm1 Pm 0.0000 0.0000 0.0000 1
Tm1 Tm 0.0000 0.0000 0.5697 1
Tm2 Tm 0.0000 0.0000 0.7630 1
Ga1 Ga 0.0000 0.0000 0.1660 1
# **Formation energy**: -0.193 eV per atom
# **Energy relative to the lowest polymorph listed for this composition**: 99.5 meV/atom
# **Density of states at the Fermi level**: 4.73 states/eV/f.u.

# SmErMg2Hg4 (PBE-GGA, relaxed)
data_SmErMg2Hg4
_chemical_formula_sum 'Sm3 Er3 Mg6 Hg12'
_symmetry_space_group_name_H-M 'R -3 m'
_symmetry_Int_Tables_number 166
_symmetry_space_group_name_Hall '-R 3 2"'
_cell_length_a 5.0834
_cell_length_b 5.0834
_cell_length_c 25.0402
_cell_angle_alpha 90.00
_cell_angle_beta 90.00
_cell_angle_gamma 120.00
loop_
_atom_site_label
_atom_site_type_symbol
_atom_site_fract_x
_atom_site_fract_y
_atom_site_fract_z
_atom_site_occupancy
Sm1 Sm 0.0000 0.0000 0.0000 1
Er1 Er 0.0000 0.0000 0.5000 1
Mg1 Mg 0.0000 0.0000 0.2496 1
Hg1 Hg 0.0000 0.0000 0.1268 1
Hg2 Hg 0.0000 0.0000 0.3777 1
# **Formation energy**: -0.459 eV per atom
# **Density of states at the Fermi level**: 2.35 states/eV/f.u.

# MgCd2Mo (PBE-GGA, relaxed)
data_MgCd2Mo
_chemical_formula_sum 'Mg1 Cd2 Mo1'
_symmetry_space_group_name_H-M 'P m m 2'
_symmetry_Int_Tables_number 25
_cell_length_a 2.9614
_cell_length_b 4.8771
_cell_length_c 5.2645
_cell_angle_alpha 90.00
_cell_angle_beta 90.00
_cell_angle_gamma 90.00
loop_
_symmetry_equiv_pos_as_xyz
'x,y,z'
'-x,-y,z'
'-x,y,z'
'x,-y,z'
loop_
_atom_site_label
_atom_site_type_symbol
_atom_site_fract_x
_atom_site_fract_y
_atom_site_fract_z
_atom_site_occupancy
Mg1 Mg 0.0000 0.0000 0.0000 1
Cd1 Cd 0.5000 0.0000 0.5323 1
Cd2 Cd 0.5000 0.5000 0.1819 1
Mo1 Mo 0.0000 0.5000 0.6860 1
# **Formation energy**: 0.307 eV per atom
# **Density of states at the Fermi level**: 2.24 states/eV/f.u.

# Pr4Te5 (PBE-GGA, relaxed)
data_Pr4Te5
_chemical_formula_sum 'Pr8 Te10'
_symmetry_space_group_name_H-M 'I 4/m m m'
_symmetry_Int_Tables_number 139
_symmetry_space_group_name_Hall '-I 4 2'
_cell_length_a 12.1796
_cell_length_b 12.1796
_cell_length_c 4.0777
_cell_angle_alpha 90.00
_cell_angle_beta 90.00
_cell_angle_gamma 90.00
loop_
_atom_site_label
_atom_site_type_symbol
_atom_site_fract_x
_atom_site_fract_y
_atom_site_fract_z
_atom_site_occupancy
Pr1 Pr 0.1560 0.1560 0.0000 1
Te1 Te 0.0000 0.0000 0.5000 1
Te2 Te 0.0000 0.3022 0.5000 1
# **Density of states at the Fermi level**: 7.27 states/eV/f.u.
# **Formation energy without anion corrections**: -8.80 eV/f.u.

# Cs2TmCu2S4 (PBE-GGA, relaxed)
data_Cs2TmCu2S4
_chemical_formula_sum 'Cs4 Tm2 Cu4 S8'
_symmetry_space_group_name_H-M 'C 1 2/m 1'
_symmetry_Int_Tables_number 12
_cell_length_a 14.7434
_cell_length_b 3.9575
_cell_length_c 8.0953
_cell_angle_alpha 90.00
_cell_angle_beta 107.37
_cell_angle_gamma 90.00
loop_
_symmetry_equiv_pos_as_xyz
'x,y,z'
'-x,-y,-z'
'-x,y,-z'
'x,-y,z'
'x+1/2,y+1/2,z'
'-x+1/2,-y+1/2,-z'
'-x+1/2,y+1/2,-z'
'x+1/2,-y+1/2,z'
loop_
_atom_site_label
_atom_site_type_symbol
_atom_site_fract_x
_atom_site_fract_y
_atom_site_fract_z
_atom_site_occupancy
Cs1 Cs 0.1362 0.0000 0.0574 1
Tm1 Tm 0.0000 0.0000 0.5000 1
Cu1 Cu 0.1781 0.5000 0.4833 1
S1 S 0.0228 0.5000 0.2861 1
S2 S 0.1957 0.0000 0.6451 1
# **Density of states at the Fermi level**: 6.38 states/eV/f.u.
# **Formation energy without anion corrections**: -10.06 eV/f.u.

no.,total energy (eV per cell)
1,-122.566
2,-33.340
3,-59.930
4,-52.476
5,-52.056
6,-13.027
7,-87.243
8,-81.886